First-principles (PBE-GGA) data for a geometry-optimized Mg2NpAlO6 structure, as listed in Alexandria.

Results
Formation energy from raw total energies in meV/atom: -2740
Raw total energy in eV per atom: -7.702
D(E_F) in states/eV per cell: 12.631

The structure in CIF format:
```
data_Mg2NpAlO6
_cell_length_a 5.213
_cell_length_b 5.430
_cell_length_c 9.292
_cell_angle_alpha 90.00
_cell_angle_beta 123.62
_cell_angle_gamma 90.00
_space_group_name_H-M_alt 'P 1 21/c 1'
_space_group_IT_number 14
_space_group_name_Hall '-P 2ybc'
loop_
_atom_site_label
_atom_site_fract_x
_atom_site_fract_y
_atom_site_fract_z
Mg1 0.238 0.042 0.235
Np1 0.000 0.000 0.500
Al1 0.500 0.000 0.000
O1 0.136 0.168 0.949
O2 0.251 0.695 0.917
O3 0.397 0.085 0.770
```



First-principles (PBE-GGA) data for a geometry-optimized Sm5Ir2Pt structure, as listed in Alexandria.

Results
DFT formation energy in kcal/mol of atoms: -17.22
Raw total energy in eV per atom: -6.667
D(E_F) in states/eV per cell: 30.685

The structure in CIF format:
```
data_Sm5Ir2Pt
_cell_length_a 7.679
_cell_length_b 7.679
_cell_length_c 13.778
_cell_angle_alpha 90.00
_cell_angle_beta 90.00
_cell_angle_gamma 90.00
_space_group_name_H-M_alt 'I 4/m c m'
_space_group_IT_number 140
_space_group_name_Hall '-I 4 2c'
loop_
_atom_site_label
_atom_site_fract_x
_atom_site_fract_y
_atom_site_fract_z
Sm1 0.000 0.000 0.000
Sm2 0.169 0.331 0.140
Ir1 0.132 0.368 0.500
Pt1 0.000 0.000 0.250
```



First-principles (PBE-GGA) data for a geometry-optimized CaTa2Mo structure, as listed in Alexandria.

Results
DFT formation energy in kcal/mol of atoms: 8.50
Raw total energy in eV per atom: -8.766
D(E_F) in states/eV per cell: 5.858

The structure in CIF format:
```
data_CaTa2Mo
_cell_length_a 3.303
_cell_length_b 4.933
_cell_length_c 9.921
_cell_angle_alpha 90.00
_cell_angle_beta 90.00
_cell_angle_gamma 90.00
_space_group_name_H-M_alt 'C m m m'
_space_group_IT_number 65
_space_group_name_Hall '-C 2 2'
loop_
_atom_site_label
_atom_site_fract_x
_atom_site_fract_y
_atom_site_fract_z
Ca1 0.000 0.000 0.000
Ta1 0.000 0.500 0.288
Mo1 0.000 0.000 0.500
```



First-principles (PBE-GGA) data for a geometry-optimized MgGa5Rh6 structure, as listed in Alexandria.

Results
DFT formation energy in kcal/mol of atoms: -16.79
Raw total energy in eV per atom: -5.798
D(E_F) in states/eV per cell: 4.837

The structure in CIF format:
```
data_MgGa5Rh6
_cell_length_a 4.301
_cell_length_b 6.085
_cell_length_c 12.895
_cell_angle_alpha 90.00
_cell_angle_beta 90.00
_cell_angle_gamma 90.00
_space_group_name_H-M_alt 'I m m m'
_space_group_IT_number 71
_space_group_name_Hall '-I 2 2'
loop_
_atom_site_label
_atom_site_fract_x
_atom_site_fract_y
_atom_site_fract_z
Mg1 0.000 0.000 0.000
Ga1 0.000 0.000 0.332
Ga2 0.000 0.500 0.000
Ga3 0.000 0.500 0.340
Rh1 0.000 0.240 0.500
Rh2 0.000 0.255 0.170
```



First-principles (PBE-GGA) data for a geometry-optimized CaYTe2 structure, as listed in Alexandria.

Results
Formation energy from raw total energies in meV/atom: -1466
Energy above the lowest structure with this stoichiometry in eV/f.u.: 0.016
Raw total energy in eV per atom: -5.153
D(E_F) in states/eV per cell: 14.306

The structure in CIF format:
```
data_CaYTe2
_cell_length_a 8.871
_cell_length_b 17.669
_cell_length_c 7.638
_cell_angle_alpha 90.00
_cell_angle_beta 124.91
_cell_angle_gamma 90.00
_space_group_name_H-M_alt 'C 1 2/c 1'
_space_group_IT_number 15
_space_group_name_Hall '-C 2yc'
loop_
_atom_site_label
_atom_site_fract_x
_atom_site_fract_y
_atom_site_fract_z
Ca1 0.000 0.062 0.250
Ca2 0.000 0.187 0.750
Y1 0.000 0.312 0.250
Y2 0.000 0.437 0.750
Te1 0.244 0.438 0.248
Te2 0.249 0.313 0.748
```



First-principles (PBE-GGA) data for a geometry-optimized TbNiAgHg structure, as listed in Alexandria.

Results
DFT formation energy in kcal/mol of atoms: -4.17
Raw total energy in eV per atom: -3.572
D(E_F) in states/eV per cell: 11.445

The structure in CIF format:
```
data_TbNiAgHg
_cell_length_a 6.786
_cell_length_b 6.786
_cell_length_c 6.786
_cell_angle_alpha 90.00
_cell_angle_beta 90.00
_cell_angle_gamma 90.00
_space_group_name_H-M_alt 'F -4 3 m'
_space_group_IT_number 216
_space_group_name_Hall 'F -4 2 3'
loop_
_atom_site_label
_atom_site_fract_x
_atom_site_fract_y
_atom_site_fract_z
Tb1 0.000 0.000 0.000
Ni1 0.250 0.250 0.750
Ag1 0.250 0.250 0.250
Hg1 0.000 0.000 0.500
```



Question: Among the records above, which one has the lowest D(E_F)?
Answer: MgGa5Rh6



Question: Among the records above, which one has the highest raw total energy?
Answer: TbNiAgHg